(1)
# La2Mg (GGA-PBE, optimized geometry)
# ΔH_f (0 K) in eV/atom: -0.04
# Crystal system: monoclinic
# Mass density in g/cm3: 5.11
data_La2Mg
_cell_length_a 12.528
_cell_length_b 3.814
_cell_length_c 8.768
_cell_angle_alpha 90.00
_cell_angle_beta 110.43
_cell_angle_gamma 90.00
_space_group_name_H-M_alt 'C 1 2/m 1'
_space_group_IT_number 12
loop_
_space_group_symop_operation_xyz
'x,y,z'
'-x,-y,-z'
'-x,y,-z'
'x,-y,z'
'x+1/2,y+1/2,z'
'-x+1/2,-y+1/2,-z'
'-x+1/2,y+1/2,-z'
'x+1/2,-y+1/2,z'
loop_
_atom_site_label
_atom_site_fract_x
_atom_site_fract_y
_atom_site_fract_z
_atom_site_occupancy
La1 0.015 0.000 0.231 1
La2 0.166 0.500 0.608 1
Mg1 0.181 0.500 0.062 1

---

(2)
# LaMg (GGA-PBE, optimized geometry)
# ΔH_f (0 K) in eV/atom: 0.16
# Crystal system: hexagonal
# Mass density in g/cm3: 4.29
data_LaMg
_cell_length_a 5.6415
_cell_length_b 5.6415
_cell_length_c 9.1622
_cell_angle_alpha 90.00
_cell_angle_beta 90.00
_cell_angle_gamma 120.00
_space_group_name_H-M_alt 'P 63/m m c'
_space_group_IT_number 194
_space_group_name_Hall '-P 6c 2c'
loop_
_atom_site_label
_atom_site_fract_x
_atom_site_fract_y
_atom_site_fract_z
_atom_site_occupancy
La1 0.0000 0.0000 0.2500 1
La2 0.3333 0.6667 0.2500 1
Mg1 0.3333 0.6667 0.5950 1

---

(3)
# LaMg11 (GGA-PBE, optimized geometry)
# ΔH_f (0 K) in eV/atom: -0.03
# Crystal system: tetragonal
# Mass density in g/cm3: 2.28
data_LaMg11
_cell_length_a 12.212
_cell_length_b 12.212
_cell_length_c 7.935
_cell_angle_alpha 90.00
_cell_angle_beta 90.00
_cell_angle_gamma 90.00
_space_group_name_H-M_alt 'I 41/a m d'
_space_group_IT_number 141
loop_
_space_group_symop_operation_xyz
'x,y,z'
'-x,-y,-z'
'-y+1/4,x+3/4,z+1/4'
'y+1/4,-x+3/4,-z+1/4'
'-x+1/2,-y,z+1/2'
'x+1/2,y,-z+1/2'
'y+1/4,-x+1/4,z+3/4'
'-y+1/4,x+1/4,-z+3/4'
'x,-y,-z'
'-x,y,z'
'-y+1/4,-x+1/4,-z+3/4'
'y+1/4,x+1/4,z+3/4'
'-x+1/2,y,-z+1/2'
'x+1/2,-y,z+1/2'
'y+1/4,x+3/4,-z+1/4'
'-y+1/4,-x+3/4,z+1/4'
'x+1/2,y+1/2,z+1/2'
'-x+1/2,-y+1/2,-z+1/2'
'-y+3/4,x+1/4,z+3/4'
'y+3/4,-x+1/4,-z+3/4'
'-x,-y+1/2,z'
'x,y+1/2,-z'
'y+3/4,-x+3/4,z+1/4'
'-y+3/4,x+3/4,-z+1/4'
'x+1/2,-y+1/2,-z+1/2'
'-x+1/2,y+1/2,z+1/2'
'-y+3/4,-x+3/4,-z+1/4'
'y+3/4,x+3/4,z+1/4'
'-x,y+1/2,-z'
'x,-y+1/2,z'
'y+3/4,x+1/4,-z+3/4'
'-y+3/4,-x+1/4,z+3/4'
loop_
_atom_site_label
_atom_site_fract_x
_atom_site_fract_y
_atom_site_fract_z
_atom_site_occupancy
La1 0.000 0.250 0.375 1
Mg1 0.000 0.000 0.000 1
Mg2 0.000 0.250 0.875 1
Mg3 0.122 0.045 0.676 1

---

(4)
# LaMg (GGA-PBE, optimized geometry)
# ΔH_f (0 K) in eV/atom: 0.21
# Crystal system: hexagonal
# Mass density in g/cm3: 3.91
data_LaMg
_cell_length_a 5.4402
_cell_length_b 5.4402
_cell_length_c 5.4103
_cell_angle_alpha 90.00
_cell_angle_beta 90.00
_cell_angle_gamma 120.00
_space_group_name_H-M_alt 'P 63/m m c'
_space_group_IT_number 194
_space_group_name_Hall '-P 6c 2c'
loop_
_atom_site_label
_atom_site_fract_x
_atom_site_fract_y
_atom_site_fract_z
_atom_site_occupancy
La1 0.3333 0.6667 0.2500 1
Mg1 0.0000 0.0000 0.0000 1

---

| no. | V (Å³/f.u.) |
| --- | --- |
| 1 | 98 |
| 2 | 63 |
| 3 | 296 |
| 4 | 69 |